1.
LaAuC, optimized geometry, DFT GGA-PBE; SG = P1; DFT formation energy = -378 meV per atom
1.0
-2.6378 -3.1253 -1.6163
6.8818 -4.7489 -1.1345
-1.4361 -2.7050 2.6041
La Au C
2 2 2
Direct
0.5894 0.3278 0.7693
0.9896 0.9657 0.0695
0.2272 0.5698 0.4484
0.6112 0.7321 0.7574
0.1353 0.1769 0.4970
0.4365 0.1120 0.3452

2.
CdTc2Pb, optimized geometry, DFT GGA-PBE; ΔE to the lowest computed polymorph = 583 meV per atom; SG = Pmmm; DFT formation energy = 792 meV per atom
1.0
3.2421 0.0000 0.0000
0.0000 4.9733 0.0000
0.0000 0.0000 4.6332
Cd Pb Tc
1 1 2
Direct
0.5000 0.0000 0.5000
0.0000 0.5000 0.5000
0.0000 0.0000 0.0000
0.5000 0.5000 0.0000

3.
Cs2Ac3Se3O2, optimized geometry, DFT GGA-PBE; uncorrected formation energy = -1.8763 eV/atom; SG = I4/mmm
1.0
-3.3238 -2.5443 -2.1960
0.2990 -3.3001 3.3710
-8.6592 9.7025 6.9524
Se O Ac Cs
3 2 3 2
Direct
0.3900 0.3900 0.7800
0.6100 0.6100 0.2200
0.0000 0.0000 0.0000
0.8081 0.8081 0.6163
0.1919 0.1919 0.3837
0.8827 0.8827 0.7653
0.5000 0.5000 0.0000
0.1173 0.1173 0.2347
0.7500 0.2500 0.5000
0.2500 0.7500 0.5000

4.
CrAuN2, optimized geometry, DFT GGA-PBE; ΔE to the lowest computed polymorph = 0 meV per atom; uncorrected formation energy = 0.1597 eV/atom; SG = R-3m
1.0
-2.2442 0.8209 6.1492
0.1670 -0.5653 6.5708
0.1931 2.2241 6.2080
N Au Cr
2 1 1
Direct
0.8914 0.8914 0.8914
0.1086 0.1086 0.1086
0.0000 0.0000 0.0000
0.5000 0.5000 0.5000

Listing density for the structures above in their given order: 8.70; 11.46; 6.29; 10.50 g/cm3.